DFT (GGA-PBE) results for a geometry-optimized Cr2WSe structure.

Cell lengths 2.9917, 2.9917, 6.1684 Å; angles 90.00, 90.00, 90.00 degrees
Positions (direct):
Cr 0.0000 0.0000 0.0000
Cr 0.5000 0.5000 0.2015
W 0.5000 0.5000 0.7305
Se 0.0000 0.0000 0.4569

E_tot ... -8.623 eV per atom
Formation energy from raw total energies ... 0.298 eV/atom
Spin magnetization ... 0.013 μB per atom